Computed, not measured: an optimized crystal structure of Mn2BeFe at the PBE level of DFT.

## Properties
Calculated volume ... 10.22 Å³/atom
ρ ... 7.095 g/cm3
Total moment ... 0.01 μB per formula unit
Energy of formation from the pure elements ... -9 meV per atom

a = 5.4689 Å, b = 5.4689 Å, c = 5.4689 Å
α = 90.00°, β = 90.00°, γ = 90.00°
Sites, in units of the cell vectors:
Mn 0.0000 0.0000 0.0000
Mn 0.0000 0.5000 0.5000
Mn 0.2500 0.2500 0.2500
Mn 0.2500 0.7500 0.7500
Mn 0.5000 0.0000 0.5000
Mn 0.5000 0.5000 0.0000
Mn 0.7500 0.2500 0.7500
Mn 0.7500 0.7500 0.2500
Be 0.2500 0.2500 0.7500
Be 0.2500 0.7500 0.2500
Be 0.7500 0.2500 0.2500
Be 0.7500 0.7500 0.7500
Fe 0.0000 0.0000 0.5000
Fe 0.0000 0.5000 0.0000
Fe 0.5000 0.0000 0.0000
Fe 0.5000 0.5000 0.5000